{
  "formula": "Ca3Mn2Ir2O12",
  "functional": "PBE with a Hubbard U",
  "state": "optimized geometry",
  "cell": [[5.437, -0.116, 0.010], [-0.217, 5.577, -0.001], [0.005, -0.010, 7.569]],
  "species": ["Ca", "Ca", "Ca", "Ir", "Ir", "O", "O", "O", "O", "O", "O", "O", "O", "O", "O", "O", "O", "Mn", "Mn"],
  "fractional_positions": [[0.006, 0.946, 0.250], [0.475, 0.443, 0.250], [0.998, 0.056, 0.752], [0.995, 0.500, 0.506], [0.501, 0.993, 0.994], [0.093, 0.492, 0.748], [0.220, 0.193, 0.043], [0.190, 0.223, 0.453], [0.287, 0.713, 0.060], [0.285, 0.712, 0.437], [0.407, 0.954, 0.751], [0.589, 0.034, 0.251], [0.713, 0.282, 0.555], [0.708, 0.283, 0.945], [0.795, 0.818, 0.969], [0.826, 0.795, 0.535], [0.898, 0.513, 0.250], [0.991, 0.503, 0.994], [0.505, 0.985, 0.506]],
  "dos_ef_per_ev_atom": 0.412,
  "space_group": "P1, No. 1",
  "energy_ev_per_atom": -6.79
}